Entry 1:
The following is a DFT calculation (PBE-GGA) of an optimized crystal structure of LiPmSO.

Summary:
- magnetic moment (Bohr magnetons per cell) = 0.000
- calculated total energy (eV/atom) = -6.345

abc: 3.9215 3.9215 8.6219
angles: 90.00 90.00 90.00
Fractional positions:
Li1 0.2500 0.7500 0.0000
Li2 0.7500 0.2500 0.0000
Pm1 0.2500 0.2500 0.3610
Pm2 0.7500 0.7500 0.6390
S1 0.2500 0.2500 0.8332
S2 0.7500 0.7500 0.1668
O1 0.2500 0.7500 0.5000
O2 0.7500 0.2500 0.5000

=====

Entry 2:
The following is a DFT calculation (PBE-GGA) of an optimized crystal structure of LiPmSO.

Summary:
- magnetic moment (Bohr magnetons per cell) = 0.000
- calculated total energy (eV/atom) = -6.345

abc: 5.5408 5.5454 8.6171
angles: 90.00 90.40 90.00
Fractional positions:
Li1 0.0000 0.2504 0.0000
Li2 0.0000 0.7496 0.0000
Li3 0.5000 0.2496 0.0000
Li4 0.5000 0.7504 0.0000
Pm1 0.2486 0.0000 0.3603
Pm2 0.2514 0.5000 0.6397
Pm3 0.7486 0.5000 0.3603
Pm4 0.7514 0.0000 0.6397
S1 0.2483 0.0000 0.8335
S2 0.2517 0.5000 0.1665
S3 0.7483 0.5000 0.8335
S4 0.7517 0.0000 0.1665
O1 0.0000 0.2496 0.5000
O2 0.0000 0.7504 0.5000
O3 0.5000 0.2504 0.5000
O4 0.5000 0.7496 0.5000

=====

Entry 3:
The following is a DFT calculation (PBE-GGA) of an optimized crystal structure of LiPmSO.

Summary:
- magnetic moment (Bohr magnetons per cell) = 0.000
- calculated total energy (eV/atom) = -6.248

abc: 5.7947 6.7349 6.3246
angles: 90.00 96.27 90.00
Fractional positions:
Li1 0.1039 0.2070 0.0246
Li2 0.1039 0.2930 0.5246
Li3 0.8961 0.7070 0.4754
Li4 0.8961 0.7930 0.9754
Pm1 0.3760 0.5626 0.2339
Pm2 0.3760 0.9374 0.7339
Pm3 0.6240 0.0626 0.2661
Pm4 0.6240 0.4374 0.7661
S1 0.1199 0.5779 0.7752
S2 0.1199 0.9221 0.2752
S3 0.8801 0.0779 0.7248
S4 0.8801 0.4221 0.2248
O1 0.4283 0.2233 0.9830
O2 0.4283 0.2767 0.4830
O3 0.5717 0.7233 0.5170
O4 0.5717 0.7767 0.0170

=====

Entry 4:
The following is a DFT calculation (PBE-GGA) of an optimized crystal structure of LiPmSO.

Summary:
- magnetic moment (Bohr magnetons per cell) = 0.000
- calculated total energy (eV/atom) = -6.231

abc: 4.4116 4.1176 6.7623
angles: 90.00 90.00 90.00
Fractional positions:
Li1 0.0000 0.2417 0.0000
Li2 0.0000 0.7583 0.5000
Pm1 0.5000 0.2571 0.3447
Pm2 0.5000 0.7429 0.8447
S1 0.0000 0.2595 0.6576
S2 0.0000 0.7405 0.1576
O1 0.5000 0.2416 0.0044
O2 0.5000 0.7584 0.5044

=====

Entry 5:
The following is a DFT calculation (PBE-GGA) of an optimized crystal structure of LiPmSO.

Summary:
- magnetic moment (Bohr magnetons per cell) = 0.001
- calculated total energy (eV/atom) = -6.152

abc: 5.7023 9.2964 5.6217
angles: 90.00 90.00 90.00
Fractional positions:
Li1 0.1369 0.0391 0.0000
Li2 0.3631 0.0391 0.5000
Li3 0.6369 0.9609 0.0000
Li4 0.8631 0.9609 0.5000
Pm1 0.0049 0.3100 0.6235
Pm2 0.4951 0.3100 0.1235
Pm3 0.5049 0.6900 0.6235
Pm4 0.9951 0.6900 0.1235
S1 0.0083 0.6457 0.6236
S2 0.4917 0.6457 0.1236
S3 0.5083 0.3543 0.6236
S4 0.9917 0.3543 0.1236
O1 0.0704 0.0921 0.6642
O2 0.4296 0.0921 0.1642
O3 0.5704 0.9079 0.6642
O4 0.9296 0.9079 0.1642

=====

Entry 6:
The following is a DFT calculation (PBE-GGA) of an optimized crystal structure of LiPmSeO.

Summary:
- magnetic moment (Bohr magnetons per cell) = 0.000
- calculated total energy (eV/atom) = -5.975

abc: 4.5105 4.1416 6.9819
angles: 90.00 90.00 90.00
Fractional positions:
Li1 0.0000 0.2451 0.0000
Li2 0.0000 0.7549 0.5000
Pm1 0.5000 0.2534 0.3371
Pm2 0.5000 0.7466 0.8371
Se1 0.0000 0.2546 0.6624
Se2 0.0000 0.7454 0.1624
O1 0.5000 0.2457 0.0015
O2 0.5000 0.7543 0.5015

=====

Entry 7:
The following is a DFT calculation (PBE-GGA) of an optimized crystal structure of LiPmSeO.

Summary:
- magnetic moment (Bohr magnetons per cell) = 0.000
- calculated total energy (eV/atom) = -6.145

abc: 5.6372 5.6499 8.9854
angles: 90.00 90.46 90.00
Fractional positions:
Li1 0.2485 0.9999 0.9999
Li2 0.2514 0.5000 0.0002
Li3 0.7486 0.0000 0.9998
Li4 0.7515 0.4999 0.0001
Pm1 0.0018 0.7554 0.6306
Pm2 0.4981 0.7557 0.3695
Pm3 0.5019 0.2557 0.6305
Pm4 0.9982 0.2554 0.3694
Se1 0.9998 0.2503 0.8252
Se2 0.0002 0.7503 0.1748
Se3 0.5003 0.2508 0.1749
Se4 0.4997 0.7508 0.8251
O1 0.2499 0.0054 0.5002
O2 0.2500 0.5056 0.5000
O3 0.7500 0.0056 0.5000
O4 0.7501 0.5054 0.4998

=====

Entry 8:
The following is a DFT calculation (PBE-GGA) of an optimized crystal structure of LiPmSeO.

Summary:
- magnetic moment (Bohr magnetons per cell) = 0.000
- calculated total energy (eV/atom) = -6.024

abc: 5.9388 7.3226 6.5191
angles: 90.00 97.92 90.00
Fractional positions:
Li1 0.1231 0.2364 0.4874
Li2 0.1231 0.2636 0.9874
Li3 0.8769 0.7364 0.0126
Li4 0.8769 0.7636 0.5126
Pm1 0.3887 0.5992 0.7605
Pm2 0.3887 0.9008 0.2605
Pm3 0.6113 0.0992 0.7395
Pm4 0.6113 0.4008 0.2395
Se1 0.1293 0.5579 0.2852
Se2 0.1293 0.9421 0.7852
Se3 0.8707 0.0579 0.2148
Se4 0.8707 0.4421 0.7148
O1 0.4278 0.1877 0.4303
O2 0.4278 0.3123 0.9303
O3 0.5722 0.6877 0.0697
O4 0.5722 0.8123 0.5697

=====

Entry 9:
The following is a DFT calculation (PBE-GGA) of an optimized crystal structure of LiPmSeO.

Summary:
- magnetic moment (Bohr magnetons per cell) = 0.000
- calculated total energy (eV/atom) = -6.144

abc: 4.0003 4.0003 8.9155
angles: 90.00 90.00 90.00
Fractional positions:
Li1 0.2500 0.7500 0.0000
Li2 0.7500 0.2500 0.0000
Pm1 0.2500 0.2500 0.3689
Pm2 0.7500 0.7500 0.6311
Se1 0.2500 0.2500 0.8256
Se2 0.7500 0.7500 0.1744
O1 0.2500 0.7500 0.5000
O2 0.7500 0.2500 0.5000

=====

Entry 10:
The following is a DFT calculation (PBE-GGA) of an optimized crystal structure of LiPmTeO.

Summary:
- magnetic moment (Bohr magnetons per cell) = 0.000
- calculated total energy (eV/atom) = -5.731

abc: 6.3629 7.6722 6.6466
angles: 90.00 98.75 90.00
Fractional positions:
Li1 0.1483 0.2318 0.4815
Li2 0.1483 0.2682 0.9815
Li3 0.8517 0.7318 0.0185
Li4 0.8517 0.7682 0.5185
Pm1 0.4019 0.6080 0.7728
Pm2 0.4019 0.8920 0.2728
Pm3 0.5981 0.1080 0.7272
Pm4 0.5981 0.3920 0.2272
Te1 0.1354 0.5492 0.2837
Te2 0.1354 0.9508 0.7837
Te3 0.8646 0.0492 0.2163
Te4 0.8646 0.4508 0.7163
O1 0.4294 0.1756 0.4128
O2 0.4294 0.3244 0.9128
O3 0.5706 0.6756 0.0872
O4 0.5706 0.8244 0.5872

=====

Entry 11:
The following is a DFT calculation (PBE-GGA) of an optimized crystal structure of LiPmTeO.

Summary:
- magnetic moment (Bohr magnetons per cell) = 0.001
- calculated total energy (eV/atom) = -5.875

abc: 4.1348 4.1348 9.4566
angles: 90.00 90.00 90.00
Fractional positions:
Li1 0.2500 0.7500 0.0000
Li2 0.7500 0.2500 0.0000
Pm1 0.2500 0.2500 0.3833
Pm2 0.7500 0.7500 0.6167
Te1 0.2500 0.2500 0.8145
Te2 0.7500 0.7500 0.1855
O1 0.2500 0.7500 0.5000
O2 0.7500 0.2500 0.5000

=====

Entry 12:
The following is a DFT calculation (PBE-GGA) of an optimized crystal structure of LiPmTeO.

Summary:
- magnetic moment (Bohr magnetons per cell) = 0.001
- calculated total energy (eV/atom) = -5.577

abc: 4.0484 6.5789 7.1205
angles: 90.00 90.00 90.00
Fractional positions:
Li1 0.0000 0.1809 0.0000
Li2 0.0000 0.8191 0.5000
Pm1 0.5000 0.4582 0.3109
Pm2 0.5000 0.5418 0.8109
Te1 0.0000 0.2398 0.5850
Te2 0.0000 0.7602 0.0850
O1 0.5000 0.2950 0.0343
O2 0.5000 0.7050 0.5343

=====

Entry 13:
The following is a DFT calculation (PBE-GGA) of an optimized crystal structure of Li8Pr4O11.

Summary:
- magnetic moment (Bohr magnetons per cell) = 0.716
- calculated total energy (eV/atom) = -6.056

abc: 4.9335 6.0846 9.9363
angles: 97.36 102.82 98.23
Fractional positions:
Li1 0.0000 0.0000 0.0000
Li2 0.9999 0.4608 0.2749
Li3 0.0522 0.1233 0.3550
Li4 0.0603 0.6158 0.8568
Li5 0.0682 0.9642 0.7519
Li6 0.1394 0.5751 0.6145
Li7 0.5149 0.2717 0.3254
Li8 0.5471 0.8114 0.7877
Pr1 0.5290 0.8301 0.1281
Pr2 0.5299 0.2620 0.6339
Pr3 0.5994 0.7457 0.4697
Pr4 0.6142 0.3316 0.9905
O1 0.2663 0.4222 0.4485
O2 0.2980 0.8897 0.6125
O3 0.3285 0.9590 0.9282
O4 0.3404 0.9612 0.3103
O5 0.3475 0.4740 0.7985
O6 0.6225 0.5349 0.2485
O7 0.7741 0.1327 0.4636
O8 0.8157 0.6460 0.6815
O9 0.8177 0.1439 0.8349
O10 0.8646 0.1496 0.1599
O11 0.9384 0.6761 0.0301

=====

Entry 14:
The following is a DFT calculation (PBE-GGA) of an optimized crystal structure of Li2PrO3.

Summary:
- magnetic moment (Bohr magnetons per cell) = 2.000
- calculated total energy (eV/atom) = -5.969

abc: 5.5719 5.5719 5.7002
angles: 98.67 98.67 122.05
Fractional positions:
Li1 0.0819 0.9181 0.7500
Li2 0.2528 0.7472 0.2500
Li3 0.7472 0.2528 0.7500
Li4 0.9181 0.0819 0.2500
Pr1 0.4075 0.5925 0.7500
Pr2 0.5925 0.4075 0.2500
O1 0.0000 0.5000 0.5000
O2 0.1509 0.3265 0.0179
O3 0.3265 0.1509 0.5179
O4 0.5000 0.0000 0.0000
O5 0.6735 0.8491 0.4821
O6 0.8491 0.6735 0.9821

=====

Entry 15:
The following is a DFT calculation (PBE-GGA) of an optimized crystal structure of Li2PrO3.

Summary:
- magnetic moment (Bohr magnetons per cell) = 2.000
- calculated total energy (eV/atom) = -5.953

abc: 5.8783 5.8783 5.2022
angles: 98.88 98.88 122.14
Fractional positions:
Li1 0.0000 0.0000 0.0000
Li2 0.1192 0.8808 0.5000
Li3 0.5000 0.5000 0.5000
Li4 0.8808 0.1192 0.5000
Pr1 0.3327 0.6673 0.0000
Pr2 0.6673 0.3327 0.0000
O1 0.0718 0.3792 0.2590
O2 0.2536 0.2536 0.7443
O3 0.3792 0.0718 0.2590
O4 0.6208 0.9282 0.7410
O5 0.7464 0.7464 0.2557
O6 0.9282 0.6208 0.7410

=====

Entry 16:
The following is a DFT calculation (PBE-GGA) of an optimized crystal structure of LiPrO3.

Summary:
- magnetic moment (Bohr magnetons per cell) = 1.994
- calculated total energy (eV/atom) = -6.187

abc: 3.7351 3.7351 3.7620
angles: 90.00 90.00 90.00
Fractional positions:
Li1 0.0000 0.0000 0.0000
Pr1 0.5000 0.5000 0.5016
O1 0.0000 0.0000 0.4989
O2 0.0000 0.5000 0.9974
O3 0.5000 0.0000 0.9974

=====

Entry 17:
The following is a DFT calculation (PBE-GGA) of an optimized crystal structure of LiPrO3.

Summary:
- magnetic moment (Bohr magnetons per cell) = 0.985
- calculated total energy (eV/atom) = -6.071

abc: 6.2299 6.2299 6.2299
angles: 46.36 46.36 46.36
Fractional positions:
Li1 0.1618 0.1618 0.1618
Li2 0.8382 0.8382 0.8382
Pr1 0.3827 0.3827 0.3827
Pr2 0.6173 0.6173 0.6173
O1 0.0944 0.0944 0.5793
O2 0.0944 0.5793 0.0944
O3 0.4207 0.9056 0.9056
O4 0.5793 0.0944 0.0944
O5 0.9056 0.4207 0.9056
O6 0.9056 0.9056 0.4207

=====

Entry 18:
The following is a DFT calculation (PBE-GGA) of an optimized crystal structure of LiPrO3.

Summary:
- magnetic moment (Bohr magnetons per cell) = 4.000
- calculated total energy (eV/atom) = -6.049

abc: 5.9794 5.9794 5.9794
angles: 58.29 58.29 58.29
Fractional positions:
Li1 0.2500 0.2500 0.2500
Li2 0.7500 0.7500 0.7500
Pr1 0.0000 0.0000 0.0000
Pr2 0.5000 0.5000 0.5000
O1 0.0690 0.7500 0.4310
O2 0.2500 0.5690 0.9310
O3 0.4310 0.0690 0.7500
O4 0.5690 0.9310 0.2500
O5 0.7500 0.4310 0.0690
O6 0.9310 0.2500 0.5690

=====

Entry 19:
The following is a DFT calculation (PBE-GGA) of an optimized crystal structure of Li8Pr4O11.

Summary:
- magnetic moment (Bohr magnetons per cell) = 0.002
- calculated total energy (eV/atom) = -6.160

abc: 4.6971 6.3532 9.8940
angles: 101.58 97.99 104.41
Fractional positions:
Li1 0.0000 0.0000 0.0000
Li2 0.0104 0.2254 0.2244
Li3 0.3168 0.8615 0.6433
Li4 0.5307 0.2708 0.1999
Li5 0.7632 0.5861 0.4374
Li6 0.8326 0.6692 0.7678
Li7 0.8571 0.9313 0.6538
Li8 0.9344 0.6935 0.1644
Pr1 0.1682 0.3190 0.5776
Pr2 0.3683 0.7532 0.9952
Pr3 0.4925 0.9368 0.3874
Pr4 0.6255 0.2734 0.8696
O1 0.0315 0.9076 0.4840
O2 0.1715 0.9272 0.8157
O3 0.1772 0.4068 0.8173
O4 0.2189 0.9915 0.1895
O5 0.2549 0.5054 0.1705
O6 0.5432 0.6493 0.5938
O7 0.5819 0.6200 0.2403
O8 0.6170 0.1471 0.6303
O9 0.7116 0.1291 0.0532
O10 0.8080 0.6596 0.9615
O11 0.8096 0.2902 0.3812

=====

Entry 20:
The following is a DFT calculation (PBE-GGA) of an optimized crystal structure of LiPr2O4.

Summary:
- magnetic moment (Bohr magnetons per cell) = 2.000
- calculated total energy (eV/atom) = -6.894

abc: 7.0387 7.0387 7.0387
angles: 60.00 60.00 60.00
Fractional positions:
Li1 0.1250 0.1250 0.1250
Li2 0.8750 0.8750 0.8750
Pr1 0.0000 0.5000 0.5000
Pr2 0.5000 0.0000 0.5000
Pr3 0.5000 0.5000 0.0000
Pr4 0.5000 0.5000 0.5000
O1 0.2605 0.2605 0.2605
O2 0.2605 0.2605 0.7186
O3 0.2605 0.7186 0.2605
O4 0.2814 0.7395 0.7395
O5 0.7186 0.2605 0.2605
O6 0.7395 0.2814 0.7395
O7 0.7395 0.7395 0.2814
O8 0.7395 0.7395 0.7395